1.
The following is a DFT calculation (PBE) of MnAu2I6 after structural relaxation.

* V: 43.1 Å³ per atom
* E_tot: -2.92 eV/atom
* ΔE_f (raw): -0.137 eV per atom

The structure in CIF format:
```
data_MnAu2I6
_symmetry_space_group_name_H-M 'C 1 2/c 1'
_symmetry_Int_Tables_number 15
_cell_length_a 14.652
_cell_length_b 15.957
_cell_length_c 6.882
_cell_angle_alpha 90.00
_cell_angle_beta 105.42
_cell_angle_gamma 90.00
loop_
_symmetry_equiv_pos_as_xyz
'x,y,z'
'-x,-y,-z'
'-x,y,-z+1/2'
'x,-y,z+1/2'
'x+1/2,y+1/2,z'
'-x+1/2,-y+1/2,-z'
'-x+1/2,y+1/2,-z+1/2'
'x+1/2,-y+1/2,z+1/2'
loop_
_atom_site_label
_atom_site_type_symbol
_atom_site_fract_x
_atom_site_fract_y
_atom_site_fract_z
_atom_site_occupancy
Mn1 Mn 0.000 0.071 0.250 1
Au1 Au 0.108 0.499 0.299 1
I1 I 0.104 0.055 0.987 1
I2 I 0.119 0.377 0.053 1
I3 I 0.120 0.182 0.441 1
```

***

2.
The following is a DFT calculation (PBE) of La7Pr12Nd after structural relaxation.

* V: 39.0 Å³ per atom
* E_tot: -4.29 eV/atom

The structure in CIF format:
```
data_La7Pr12Nd
_symmetry_space_group_name_H-M 'I m -3'
_symmetry_Int_Tables_number 204
_symmetry_space_group_name_Hall '-I 2 2 3'
_cell_length_a 11.596
_cell_length_b 11.596
_cell_length_c 11.596
_cell_angle_alpha 90.00
_cell_angle_beta 90.00
_cell_angle_gamma 90.00
loop_
_atom_site_label
_atom_site_type_symbol
_atom_site_fract_x
_atom_site_fract_y
_atom_site_fract_z
_atom_site_occupancy
La1 La 0.000 0.000 0.500 1
La2 La 0.250 0.250 0.250 1
Pr1 Pr 0.000 0.277 0.215 1
Nd1 Nd 0.000 0.000 0.000 1
```

***

Question: V of number 2 (La7Pr12Nd)?
Answer: 39.0 Å³ per atom